No. 1
# CrFe

A relaxed structure of CrFe (PBE, the Alexandria database).

Calculated values
- energy relative to the elements (kJ/mol of formula units) = 6
- crystal system = orthorhombic
- space group = No. 67
- V (Å³/cell) = 46
- total DFT energy (no corrections) (eV per atom) = -9.0138
- D(E_F) (states/eV per cell) = 3.21

Unit cell a=2.450 b=2.450 c=8.011 alpha=90.00 beta=90.00 gamma=107.86
Fractional coordinates of all 4 atoms:
Cr (0.500, 0.500, 0.750)
Fe (0.500, 0.500, 0.250)
Cr (0.000, 0.000, 0.000)
Fe (0.000, 0.000, 0.500)

---

No. 2
# CrFe

A relaxed structure of CrFe (PBE, the Alexandria database).

Calculated values
- energy relative to the elements (kJ/mol of formula units) = 26
- crystal system = monoclinic
- space group = No. 12
- V (Å³/cell) = 44
- total DFT energy (no corrections) (eV per atom) = -8.9068
- D(E_F) (states/eV per cell) = 4.31

Unit cell a=4.313 b=2.495 c=4.764 alpha=74.82 beta=63.27 gamma=90.00
Fractional coordinates of all 4 atoms:
Fe (0.510, 0.507, 0.985)
Cr (0.094, 0.760, 0.480)
Cr (0.989, 0.990, 0.020)
Fe (0.574, 0.243, 0.515)

---

No. 3
# CrFe

A relaxed structure of CrFe (PBE, the Alexandria database).

Calculated values
- energy relative to the elements (kJ/mol of formula units) = 35
- crystal system = hexagonal
- space group = No. 194
- V (Å³/cell) = 44
- total DFT energy (no corrections) (eV per atom) = -8.8635
- D(E_F) (states/eV per cell) = 5.74

Unit cell a=2.501 b=2.501 c=8.088 alpha=90.00 beta=90.00 gamma=120.00
Fractional coordinates of all 4 atoms:
Fe (0.333, 0.667, 0.250)
Cr (0.000, 0.000, 0.500)
Cr (0.000, 0.000, 0.000)
Fe (0.667, 0.333, 0.750)

---

No. 4
# CrFe

A relaxed structure of CrFe (PBE, the Alexandria database).

Calculated values
- energy relative to the elements (kJ/mol of formula units) = 37
- crystal system = orthorhombic
- space group = No. 59
- V (Å³/cell) = 132
- total DFT energy (no corrections) (eV per atom) = -8.8535
- D(E_F) (states/eV per cell) = 18.15

Unit cell a=2.620 b=4.194 c=11.967 alpha=90.00 beta=90.00 gamma=90.00
Fractional coordinates of all 12 atoms:
Cr (0.500, 0.044, 0.167)
Cr (0.000, 0.956, 0.667)
Fe (0.000, 0.554, 0.500)
Cr (0.000, 0.956, 0.333)
Fe (0.000, 0.555, 0.833)
Cr (0.000, 0.957, 0.000)
Fe (0.500, 0.446, 0.000)
Fe (0.000, 0.555, 0.167)
Cr (0.500, 0.044, 0.833)
Fe (0.500, 0.445, 0.333)
Fe (0.500, 0.445, 0.667)
Cr (0.500, 0.043, 0.500)

---

No. 5
# CrFe2

A relaxed structure of CrFe2 (PBE, the Alexandria database).

Calculated values
- energy relative to the elements (kJ/mol of formula units) = 31
- crystal system = monoclinic
- space group = No. 8
- V (Å³/cell) = 64
- total DFT energy (no corrections) (eV per atom) = -8.7416
- D(E_F) (states/eV per cell) = 7.12

Unit cell a=4.700 b=4.700 c=5.886 alpha=76.45 beta=76.45 gamma=30.53
Fractional coordinates of all 6 atoms:
Fe (0.668, 0.668, 0.667)
Cr (0.004, 0.004, 0.995)
Fe (0.946, 0.946, 0.613)
Cr (0.330, 0.330, 0.334)
Fe (0.611, 0.611, 0.282)
Fe (0.275, 0.275, 0.942)

---

No. 6
# Cr5Fe

A relaxed structure of Cr5Fe (PBE, the Alexandria database).

Calculated values
- energy relative to the elements (kJ/mol of formula units) = 156
- crystal system = monoclinic
- space group = No. 8
- V (Å³/cell) = 70
- total DFT energy (no corrections) (eV per atom) = -9.1602
- D(E_F) (states/eV per cell) = 9.14

Unit cell a=4.962 b=4.962 c=6.358 alpha=77.33 beta=77.33 gamma=27.25
Fractional coordinates of all 6 atoms:
Cr (0.339, 0.339, 0.316)
Cr (0.677, 0.677, 0.655)
Fe (0.271, 0.271, 0.958)
Cr (0.602, 0.602, 0.290)
Cr (0.937, 0.937, 0.631)
Cr (0.006, 0.006, 0.983)

---

No. 7
# Cr5Fe

A relaxed structure of Cr5Fe (PBE, the Alexandria database).

Calculated values
- energy relative to the elements (kJ/mol of formula units) = 298
- crystal system = hexagonal
- space group = No. 191
- V (Å³/cell) = 77
- total DFT energy (no corrections) (eV per atom) = -8.9158
- D(E_F) (states/eV per cell) = 4.97

Unit cell a=4.702 b=4.702 c=4.001 alpha=90.00 beta=90.00 gamma=120.00
Fractional coordinates of all 6 atoms:
Cr (0.500, 0.500, 0.500)
Fe (0.000, 0.000, 0.000)
Cr (0.667, 0.333, 0.000)
Cr (0.000, 0.500, 0.500)
Cr (0.333, 0.667, 0.000)
Cr (0.500, 0.000, 0.500)

---

No. 8
# CrFe2

A relaxed structure of CrFe2 (PBE, the Alexandria database).

Calculated values
- energy relative to the elements (kJ/mol of formula units) = 105
- crystal system = tetragonal
- space group = No. 140
- V (Å³/cell) = 68
- total DFT energy (no corrections) (eV per atom) = -8.4876
- D(E_F) (states/eV per cell) = 5.62

Unit cell a=4.502 b=4.502 c=4.502 alpha=103.48 beta=103.48 gamma=122.27
Fractional coordinates of all 6 atoms:
Cr (0.250, 0.250, 0.000)
Fe (0.641, 0.141, 0.782)
Fe (0.141, 0.359, 0.500)
Fe (0.859, 0.641, 0.500)
Cr (0.750, 0.750, 0.000)
Fe (0.359, 0.859, 0.218)

---

No. 9
# CrFe8

A relaxed structure of CrFe8 (PBE, the Alexandria database).

Calculated values
- excess energy over the best structure of this formula in the dataset (meV per atom) = 0
- energy relative to the elements (kJ/mol of formula units) = 4
- crystal system = tetragonal
- space group = No. 139
- V (Å³/cell) = 104
- total DFT energy (no corrections) (eV per atom) = -8.5875
- D(E_F) (states/eV per cell) = 6.26

Unit cell a=2.880 b=6.166 c=6.166 alpha=86.87 beta=76.50 gamma=76.50
Fractional coordinates of all 9 atoms:
Cr (0.000, 0.000, 0.000)
Fe (0.000, 0.334, 0.666)
Fe (0.000, 0.666, 0.334)
Fe (0.666, 0.334, 0.334)
Fe (0.334, 0.666, 0.666)
Fe (0.666, 0.667, 0.000)
Fe (0.666, 0.000, 0.667)
Fe (0.334, 0.000, 0.333)
Fe (0.334, 0.333, 0.000)

---

No. 10
# CrFe4

A relaxed structure of CrFe4 (PBE, the Alexandria database).

Calculated values
- excess energy over the best structure of this formula in the dataset (meV per atom) = 507
- energy relative to the elements (kJ/mol of formula units) = 248
- crystal system = tetragonal
- space group = No. 139
- V (Å³/cell) = 61
- total DFT energy (no corrections) (eV per atom) = -8.1813
- D(E_F) (states/eV per cell) = 5.98

Unit cell a=5.525 b=5.525 c=5.525 alpha=142.81 beta=142.81 gamma=53.61
Fractional coordinates of all 5 atoms:
Fe (0.750, 0.250, 0.500)
Fe (0.250, 0.750, 0.500)
Cr (0.000, 0.000, 0.000)
Fe (0.603, 0.603, 0.000)
Fe (0.397, 0.397, 0.000)

---

No. 11
# CrFe4

A relaxed structure of CrFe4 (PBE, the Alexandria database).

Calculated values
- excess energy over the best structure of this formula in the dataset (meV per atom) = 1207
- energy relative to the elements (kJ/mol of formula units) = 585
- crystal system = cubic
- space group = No. 221
- V (Å³/cell) = 72
- total DFT energy (no corrections) (eV per atom) = -7.4818
- D(E_F) (states/eV per cell) = 6.86

Unit cell a=4.152 b=4.152 c=4.152 alpha=90.00 beta=90.00 gamma=90.00
Fractional coordinates of all 5 atoms:
Fe (0.000, 0.000, 0.000)
Fe (0.500, 0.000, 0.500)
Cr (0.500, 0.500, 0.500)
Fe (0.500, 0.500, 0.000)
Fe (0.000, 0.500, 0.500)

---

No. 12
# CrGa2Fe2

A relaxed structure of CrGa2Fe2 (PBE, the Alexandria database).

Calculated values
- energy relative to the elements (kJ/mol of formula units) = 61
- crystal system = tetragonal
- space group = No. 127
- V (Å³/cell) = 134
- total DFT energy (no corrections) (eV per atom) = -6.3931
- D(E_F) (states/eV per cell) = 7.16

Unit cell a=6.616 b=6.616 c=3.052 alpha=90.00 beta=90.00 gamma=90.00
Fractional coordinates of all 10 atoms:
Fe (0.666, 0.834, 0.500)
Ga (0.865, 0.635, 0.000)
Ga (0.365, 0.865, 0.000)
Fe (0.834, 0.334, 0.500)
Fe (0.334, 0.166, 0.500)
Cr (0.000, 0.000, 0.000)
Cr (0.500, 0.500, 0.000)
Ga (0.635, 0.135, 0.000)
Fe (0.166, 0.666, 0.500)
Ga (0.135, 0.365, 0.000)

---

No. 13
# CrGa2Fe5

A relaxed structure of CrGa2Fe5 (PBE, the Alexandria database).

Calculated values
- energy relative to the elements (kJ/mol of formula units) = -9
- crystal system = tetragonal
- space group = No. 139
- V (Å³/cell) = 93
- total DFT energy (no corrections) (eV per atom) = -7.2600
- D(E_F) (states/eV per cell) = 7.63

Unit cell a=4.033 b=4.033 c=6.372 alpha=108.45 beta=108.45 gamma=90.00
Fractional coordinates of all 8 atoms:
Ga (0.251, 0.251, 0.502)
Fe (0.619, 0.119, 0.239)
Ga (0.749, 0.749, 0.498)
Fe (0.500, 0.500, 0.000)
Cr (0.000, 0.000, 0.000)
Fe (0.881, 0.381, 0.761)
Fe (0.119, 0.619, 0.239)
Fe (0.381, 0.881, 0.761)

---

Number 1: M_tot 1.049 μB per atom. Number 2: M_tot 0.000 μB per atom. Number 3: M_tot 0.033 μB per atom. Number 4: M_tot 0.000 μB per atom. Number 5: M_tot 0.000 μB per atom. Number 6: M_tot 0.312 μB per atom. Number 7: M_tot 0.464 μB per atom. Number 8: M_tot 0.139 μB per atom. Number 9: M_tot 1.807 μB per atom. Number 10: M_tot 0.099 μB per atom. Number 11: M_tot 1.462 μB per atom. Number 12: M_tot 1.249 μB per atom. Number 13: M_tot 0.643 μB per atom.